Computed, not measured: a relaxed structure of KCd2SnBr8 at the PBE level of DFT.

CIF file:
```
data_KCd2SnBr8
_chemical_formula_sum 'K2 Cd4 Sn2 Br16'
_symmetry_space_group_name_H-M 'I -4 m 2'
_symmetry_Int_Tables_number 119
_symmetry_space_group_name_Hall 'I -4 -2'
_cell_length_a 10.037
_cell_length_b 10.037
_cell_length_c 9.007
_cell_angle_alpha 90.00
_cell_angle_beta 90.00
_cell_angle_gamma 90.00
loop_
_atom_site_label
_atom_site_type_symbol
_atom_site_fract_x
_atom_site_fract_y
_atom_site_fract_z
_atom_site_occupancy
K1 K 0.000 0.000 0.000 1
Cd1 Cd 0.000 0.000 0.500 1
Cd2 Cd 0.000 0.500 0.750 1
Sn1 Sn 0.000 0.500 0.250 1
Br1 Br 0.000 0.204 0.315 1
Br2 Br 0.000 0.321 0.963 1
```

Crystal system = tetragonal
E_form (uncorrected) = -792 meV per atom
N(E_F) = 30.54 states/eV/cell
Magnetization = 0.00 μB/f.u.

***

Computed, not measured: a relaxed structure of K2SrCdBr6 at the PBE level of DFT.

CIF file:
```
data_K2SrCdBr6
_chemical_formula_sum 'K2 Sr1 Cd1 Br6'
_symmetry_space_group_name_H-M 'P 4 m m'
_symmetry_Int_Tables_number 99
_cell_length_a 8.017
_cell_length_b 8.017
_cell_length_c 6.185
_cell_angle_alpha 90.00
_cell_angle_beta 90.00
_cell_angle_gamma 90.00
loop_
_symmetry_equiv_pos_as_xyz
'x,y,z'
'-y,x,z'
'-x,-y,z'
'y,-x,z'
'-x,y,z'
'y,x,z'
'x,-y,z'
'-y,-x,z'
loop_
_atom_site_label
_atom_site_type_symbol
_atom_site_fract_x
_atom_site_fract_y
_atom_site_fract_z
_atom_site_occupancy
K1 K 0.000 0.500 0.000 1
Sr1 Sr 0.000 0.000 0.613 1
Cd1 Cd 0.500 0.500 0.578 1
Br1 Br 0.000 0.000 0.128 1
Br2 Br 0.262 0.262 0.689 1
Br3 Br 0.500 0.500 0.157 1
```

Crystal system = tetragonal
E_form (uncorrected) = -1535 meV per atom
N(E_F) = 0.00 states/eV/cell
Magnetization = 0.00 μB/f.u.

***

Computed, not measured: a relaxed structure of KTbCd2Br8 at the PBE level of DFT.

CIF file:
```
data_KTbCd2Br8
_chemical_formula_sum 'K1 Tb1 Cd2 Br8'
_symmetry_space_group_name_H-M 'P -1'
_symmetry_Int_Tables_number 2
_cell_length_a 6.572
_cell_length_b 6.966
_cell_length_c 8.752
_cell_angle_alpha 89.72
_cell_angle_beta 89.60
_cell_angle_gamma 89.32
loop_
_symmetry_equiv_pos_as_xyz
'x,y,z'
'-x,-y,-z'
loop_
_atom_site_label
_atom_site_type_symbol
_atom_site_fract_x
_atom_site_fract_y
_atom_site_fract_z
_atom_site_occupancy
K1 K 0.000 0.000 0.000 1
Tb1 Tb 0.000 0.000 0.500 1
Cd1 Cd 0.498 0.498 0.248 1
Br1 Br 0.251 0.832 0.722 1
Br2 Br 0.253 0.834 0.277 1
Br3 Br 0.262 0.337 0.500 1
Br4 Br 0.266 0.379 0.000 1
```

Crystal system = triclinic
E_form (uncorrected) = -1279 meV per atom
N(E_F) = 0.00 states/eV/cell
Magnetization = 0.00 μB/f.u.

***

Computed, not measured: a relaxed structure of K2CdTeBr at the PBE level of DFT.

CIF file:
```
data_K2CdTeBr
_chemical_formula_sum 'K2 Cd1 Te1 Br1'
_symmetry_space_group_name_H-M 'P 4/m m m'
_symmetry_Int_Tables_number 123
_symmetry_space_group_name_Hall '-P 4 2'
_cell_length_a 6.822
_cell_length_b 6.822
_cell_length_c 5.419
_cell_angle_alpha 90.00
_cell_angle_beta 90.00
_cell_angle_gamma 90.00
loop_
_atom_site_label
_atom_site_type_symbol
_atom_site_fract_x
_atom_site_fract_y
_atom_site_fract_z
_atom_site_occupancy
K1 K 0.000 0.500 0.000 1
Cd1 Cd 0.000 0.000 0.000 1
Te1 Te 0.000 0.000 0.500 1
Br1 Br 0.500 0.500 0.500 1
```

Crystal system = tetragonal
E_form (uncorrected) = -636 meV per atom
N(E_F) = 0.49 states/eV/cell
Magnetization = 0.00 μB/f.u.

***

Computed, not measured: a relaxed structure of KCdTeBr at the PBE level of DFT.

CIF file:
```
data_KCdTeBr
_chemical_formula_sum 'K3 Cd3 Te3 Br3'
_symmetry_space_group_name_H-M 'R 3 m'
_symmetry_Int_Tables_number 160
_symmetry_space_group_name_Hall 'R 3 -2"'
_cell_length_a 4.6677
_cell_length_b 4.6677
_cell_length_c 24.3159
_cell_angle_alpha 90.00
_cell_angle_beta 90.00
_cell_angle_gamma 120.00
loop_
_atom_site_label
_atom_site_type_symbol
_atom_site_fract_x
_atom_site_fract_y
_atom_site_fract_z
_atom_site_occupancy
K1 K 0.0000 0.0000 0.0000 1
Cd1 Cd 0.0000 0.0000 0.1518 1
Te1 Te 0.0000 0.0000 0.7765 1
Br1 Br 0.0000 0.0000 0.2635 1
```

Crystal system = trigonal
E_form (uncorrected) = -1004 meV per atom
Magnetization = 0.00 μB/f.u.

***

Computed, not measured: a relaxed structure of KTl2CdBr5 at the PBE level of DFT.

CIF file:
```
data_KTl2CdBr5
_chemical_formula_sum 'K4 Tl8 Cd4 Br20'
_symmetry_space_group_name_H-M 'C m c 21'
_symmetry_Int_Tables_number 36
_cell_length_a 4.380
_cell_length_b 18.566
_cell_length_c 16.997
_cell_angle_alpha 90.00
_cell_angle_beta 90.00
_cell_angle_gamma 90.00
loop_
_symmetry_equiv_pos_as_xyz
'x,y,z'
'-x,-y,z+1/2'
'-x,y,z'
'x,-y,z+1/2'
'x+1/2,y+1/2,z'
'-x+1/2,-y+1/2,z+1/2'
'-x+1/2,y+1/2,z'
'x+1/2,-y+1/2,z+1/2'
loop_
_atom_site_label
_atom_site_type_symbol
_atom_site_fract_x
_atom_site_fract_y
_atom_site_fract_z
_atom_site_occupancy
K1 K 0.000 0.052 0.000 1
Tl1 Tl 0.000 0.349 0.819 1
Tl2 Tl 0.000 0.433 0.215 1
Cd1 Cd 0.000 0.255 0.593 1
Br1 Br 0.000 0.022 0.332 1
Br2 Br 0.000 0.109 0.579 1
Br3 Br 0.000 0.229 0.985 1
Br4 Br 0.000 0.256 0.211 1
Br5 Br 0.000 0.401 0.627 1
```

Crystal system = orthorhombic
E_form (uncorrected) = -1022 meV per atom
N(E_F) = 0.00 states/eV/cell
Magnetization = 0.00 μB/f.u.